Entry 1:
{
  "formula": "NbSb2Br2",
  "functional": "PBE",
  "state": "relaxed",
  "e_above_lowest_polymorph_mev_per_atom": 40,
  "lattice": [[-1.9164, 1.9164, 10.2009], [1.9164, -1.9164, 10.2009], [1.9164, 1.9164, -10.2009]],
  "species": ["Nb", "Sb", "Sb", "Br", "Br"],
  "frac_coords": [[0.0000, 0.0000, 0.0000], [0.4293, 0.4293, 0.0000], [0.5707, 0.5707, 0.0000], [0.2500, 0.7500, 0.5000], [0.7500, 0.2500, 0.5000]]
}

=====

Entry 2:
{
  "formula": "CaMn2W",
  "functional": "PBE",
  "state": "relaxed",
  "e_form_mev_per_atom": 389,
  "e_above_lowest_polymorph_mev_per_atom": 0,
  "lattice": [[3.1615, 0.0000, 0.0000], [0.0000, 3.1615, 0.0000], [0.0000, 0.0000, 7.2181]],
  "species": ["Ca", "Mn", "Mn", "W"],
  "frac_coords": [[0.0000, 0.0000, 0.0000], [0.5000, 0.5000, 0.3190], [0.5000, 0.5000, 0.6810], [0.0000, 0.0000, 0.5000]]
}

=====

Entry 3:
{
  "formula": "PrTm8Sc6",
  "functional": "PBE",
  "state": "relaxed",
  "e_form_mev_per_atom": 195,
  "lattice": [[4.6250, 2.6703, 5.7882], [-4.6250, 2.6703, 5.7882], [0.0000, -5.3405, 5.7882]],
  "species": ["Pr", "Tm", "Tm", "Tm", "Tm", "Tm", "Tm", "Tm", "Tm", "Sc", "Sc", "Sc", "Sc", "Sc", "Sc"],
  "frac_coords": [[0.0000, 0.0000, 0.0000], [0.0707, 0.7726, 0.6342], [0.2274, 0.3658, 0.9293], [0.3658, 0.9293, 0.2274], [0.4121, 0.4121, 0.4121], [0.5879, 0.5879, 0.5879], [0.6342, 0.0707, 0.7726], [0.7726, 0.6342, 0.0707], [0.9293, 0.2274, 0.3658], [0.0617, 0.6063, 0.2896], [0.2896, 0.0617, 0.6063], [0.3937, 0.7104, 0.9383], [0.6063, 0.2896, 0.0617], [0.7104, 0.9383, 0.3937], [0.9383, 0.3937, 0.7104]]
}

=====

Entry 4:
{
  "formula": "LaPr4Tm2",
  "functional": "PBE",
  "state": "relaxed",
  "e_form_mev_per_atom": 216,
  "e_above_lowest_polymorph_mev_per_atom": 151,
  "lattice": [[-3.4896, 5.8001, 6.1483], [3.4896, -5.8001, 6.1483], [3.4896, 5.8001, -6.1483]],
  "species": ["La", "La", "Pr", "Pr", "Pr", "Pr", "Pr", "Pr", "Pr", "Pr", "Tm", "Tm", "Tm", "Tm"],
  "frac_coords": [[0.0000, 0.0000, 0.0000], [0.5000, 0.0000, 0.5000], [0.1532, 0.6476, 0.5056], [0.2409, 0.2714, 0.5304], [0.2409, 0.7105, 0.9696], [0.3580, 0.3524, 0.0056], [0.6420, 0.6476, 0.9944], [0.7591, 0.2895, 0.0304], [0.7591, 0.7286, 0.4696], [0.8468, 0.3524, 0.4944], [0.0299, 0.7799, 0.2500], [0.5000, 0.0000, 0.0000], [0.5000, 0.5000, 0.5000], [0.9701, 0.2201, 0.7500]]
}

=====

Entry 5:
{
  "formula": "La2YBe",
  "functional": "PBE",
  "state": "relaxed",
  "e_form_mev_per_atom": 344,
  "lattice": [[3.6814, 0.0000, 0.0000], [0.0000, 5.4042, 0.0000], [0.0000, 0.0000, 5.6099]],
  "species": ["La", "La", "Y", "Be"],
  "frac_coords": [[0.0000, 0.0000, 0.0000], [0.5000, 0.5000, 0.0000], [0.0000, 0.5000, 0.5000], [0.5000, 0.0000, 0.5000]]
}

=====

Entry 6:
{
  "formula": "Ti3ZnCo4",
  "functional": "PBE",
  "state": "relaxed",
  "e_form_mev_per_atom": -388,
  "lattice": [[2.0793, 1.2005, 6.8181], [-2.0793, 1.2005, 6.8181], [0.0000, -2.4010, 6.8181]],
  "species": ["Ti", "Ti", "Ti", "Zn", "Co", "Co", "Co", "Co"],
  "frac_coords": [[0.0000, 0.0000, 0.0000], [0.2448, 0.2448, 0.2448], [0.7552, 0.7552, 0.7552], [0.5000, 0.5000, 0.5000], [0.1207, 0.1207, 0.1207], [0.3719, 0.3719, 0.3719], [0.6281, 0.6281, 0.6281], [0.8793, 0.8793, 0.8793]]
}

=====

Entry 7:
{
  "formula": "ScRuSCl2",
  "functional": "PBE",
  "state": "relaxed",
  "e_above_lowest_polymorph_mev_per_atom": 52,
  "lattice": [[4.6789, 0.0000, 0.0000], [0.0000, 4.6789, 0.0000], [0.0000, 0.0000, 4.7021]],
  "species": ["Sc", "Ru", "S", "Cl", "Cl"],
  "frac_coords": [[0.0000, 0.0000, 0.0000], [0.5000, 0.5000, 0.5000], [0.5000, 0.5000, 0.0000], [0.0000, 0.5000, 0.5000], [0.5000, 0.0000, 0.5000]]
}

=====

Entry 8:
{
  "formula": "SnAuSeN2",
  "functional": "PBE",
  "state": "relaxed",
  "e_above_lowest_polymorph_mev_per_atom": 122,
  "lattice": [[4.1783, 0.0000, 0.0000], [0.0000, 4.1783, 0.0000], [0.0000, 0.0000, 5.5376]],
  "species": ["Sn", "Au", "Se", "N", "N"],
  "frac_coords": [[0.0000, 0.0000, 0.0000], [0.5000, 0.5000, 0.5000], [0.5000, 0.5000, 0.0000], [0.0000, 0.5000, 0.5000], [0.5000, 0.0000, 0.5000]]
}

=====

Entry 9:
{
  "formula": "UPtRhAu",
  "functional": "PBE",
  "state": "relaxed",
  "e_form_mev_per_atom": -451,
  "e_above_lowest_polymorph_mev_per_atom": 0,
  "lattice": [[0.0000, 3.3264, 3.3264], [3.3264, 0.0000, 3.3264], [3.3264, 3.3264, 0.0000]],
  "species": ["U", "Pt", "Rh", "Au"],
  "frac_coords": [[0.0000, 0.0000, 0.0000], [0.2500, 0.2500, 0.2500], [0.7500, 0.7500, 0.7500], [0.5000, 0.5000, 0.5000]]
}

=====

Entry 10:
{
  "formula": "GaSi2Ir2",
  "functional": "PBE",
  "state": "relaxed",
  "e_above_lowest_polymorph_mev_per_atom": 353,
  "lattice": [[3.7677, 0.0000, 0.0000], [0.0000, 3.7677, 0.0000], [0.0000, 0.0000, 5.6339]],
  "species": ["Ga", "Si", "Si", "Ir", "Ir"],
  "frac_coords": [[0.0000, 0.0000, 0.0000], [0.0000, 0.5000, 0.5000], [0.5000, 0.0000, 0.5000], [0.5000, 0.5000, 0.2345], [0.5000, 0.5000, 0.7655]]
}

=====

Entry 11:
{
  "formula": "Ba4Cd2Pt",
  "functional": "PBE",
  "state": "relaxed",
  "e_form_mev_per_atom": -417,
  "e_above_lowest_polymorph_mev_per_atom": 0,
  "lattice": [[8.7694, -2.4652, 0.0000], [8.7694, 2.4652, 0.0000], [-1.5844, 0.0000, 7.0215]],
  "species": ["Ba", "Ba", "Ba", "Ba", "Cd", "Cd", "Pt"],
  "frac_coords": [[0.0757, 0.0757, 0.2654], [0.3498, 0.3498, 0.1722], [0.6502, 0.6502, 0.8278], [0.9243, 0.9243, 0.7346], [0.2623, 0.2623, 0.6228], [0.7377, 0.7377, 0.3772], [0.5000, 0.5000, 0.0000]]
}

=====

Entry 12:
{
  "formula": "Co2Re2Tc",
  "functional": "PBE",
  "state": "relaxed",
  "e_form_mev_per_atom": 168,
  "e_above_lowest_polymorph_mev_per_atom": 37,
  "lattice": [[4.7131, 0.0000, 0.0000], [0.4392, 4.9274, 0.0000], [2.2918, 1.3232, 5.7686]],
  "species": ["Co", "Co", "Co", "Co", "Re", "Re", "Re", "Re", "Tc", "Tc"],
  "frac_coords": [[0.1331, 0.2222, 0.2191], [0.3382, 0.8357, 0.4947], [0.6618, 0.1643, 0.5053], [0.8669, 0.7778, 0.7809], [0.0891, 0.2901, 0.6237], [0.2923, 0.9245, 0.9139], [0.7077, 0.0755, 0.0861], [0.9109, 0.7099, 0.3763], [0.4704, 0.4556, 0.8028], [0.5296, 0.5444, 0.1972]]
}

=====

Entry 13:
{
  "formula": "AlIrRh",
  "functional": "PBE",
  "state": "relaxed",
  "e_form_mev_per_atom": -232,
  "e_above_lowest_polymorph_mev_per_atom": 308,
  "lattice": [[0.0000, 2.8766, 2.8766], [2.8766, 0.0000, 2.8766], [2.8766, 2.8766, 0.0000]],
  "species": ["Al", "Ir", "Rh"],
  "frac_coords": [[0.0000, 0.0000, 0.0000], [0.7500, 0.7500, 0.7500], [0.2500, 0.2500, 0.2500]]
}

=====

Entry 14:
{
  "formula": "Li3Ag2Au",
  "functional": "PBE",
  "state": "relaxed",
  "e_form_mev_per_atom": -334,
  "e_above_lowest_polymorph_mev_per_atom": 0,
  "lattice": [[2.1813, -6.4969, 0.0000], [2.1813, 6.4969, 0.0000], [0.0000, 0.0000, 6.6677]],
  "species": ["Li", "Li", "Li", "Li", "Li", "Li", "Ag", "Ag", "Ag", "Ag", "Au", "Au"],
  "frac_coords": [[0.0000, 0.0000, 0.2441], [0.0000, 0.0000, 0.7559], [0.3305, 0.6695, 0.2392], [0.3305, 0.6695, 0.7608], [0.6695, 0.3305, 0.2392], [0.6695, 0.3305, 0.7608], [0.1659, 0.8341, 0.5000], [0.5000, 0.5000, 0.0000], [0.5000, 0.5000, 0.5000], [0.8341, 0.1659, 0.5000], [0.1636, 0.8364, 0.0000], [0.8364, 0.1636, 0.0000]]
}

=====

Entry 15:
{
  "formula": "PmScCuPd",
  "functional": "PBE",
  "state": "relaxed",
  "e_form_mev_per_atom": -480,
  "e_above_lowest_polymorph_mev_per_atom": 19,
  "lattice": [[0.0000, 3.4529, 3.4529], [3.4529, 0.0000, 3.4529], [3.4529, 3.4529, 0.0000]],
  "species": ["Pm", "Sc", "Cu", "Pd"],
  "frac_coords": [[0.0000, 0.0000, 0.0000], [0.5000, 0.5000, 0.5000], [0.7500, 0.7500, 0.7500], [0.2500, 0.2500, 0.2500]]
}

=====

Entry 16:
{
  "formula": "Y12BiPt6",
  "functional": "PBE",
  "state": "relaxed",
  "e_form_mev_per_atom": -885,
  "lattice": [[-5.0304, 5.0304, 5.0304], [5.0304, -5.0304, 5.0304], [5.0304, 5.0304, -5.0304]],
  "species": ["Y", "Y", "Y", "Y", "Y", "Y", "Y", "Y", "Y", "Y", "Y", "Y", "Bi", "Pt", "Pt", "Pt", "Pt", "Pt", "Pt"],
  "frac_coords": [[0.1205, 0.8180, 0.3025], [0.1820, 0.3025, 0.4844], [0.1820, 0.6975, 0.8795], [0.3025, 0.1205, 0.8180], [0.3025, 0.4844, 0.1820], [0.4844, 0.1820, 0.3025], [0.5156, 0.8180, 0.6975], [0.6975, 0.5156, 0.8180], [0.6975, 0.8795, 0.1820], [0.8180, 0.3025, 0.1205], [0.8180, 0.6975, 0.5156], [0.8795, 0.1820, 0.6975], [0.0000, 0.0000, 0.0000], [0.1376, 0.6376, 0.5000], [0.3624, 0.5000, 0.8624], [0.5000, 0.1376, 0.6376], [0.5000, 0.8624, 0.3624], [0.6376, 0.5000, 0.1376], [0.8624, 0.3624, 0.5000]]
}

=====

Entry 17:
{
  "formula": "DyTh2MnC4",
  "functional": "PBE",
  "state": "relaxed",
  "e_form_mev_per_atom": 2,
  "lattice": [[1.7964, -5.9688, 0.0000], [1.7964, 5.9688, 0.0000], [0.0000, 0.0000, 12.4846]],
  "species": ["Dy", "Dy", "Th", "Th", "Th", "Th", "Mn", "Mn", "C", "C", "C", "C", "C", "C", "C", "C"],
  "frac_coords": [[0.1084, 0.8916, 0.7500], [0.8916, 0.1084, 0.2500], [0.3660, 0.6340, 0.5447], [0.3660, 0.6340, 0.9553], [0.6340, 0.3660, 0.0447], [0.6340, 0.3660, 0.4553], [0.1737, 0.8263, 0.2500], [0.8263, 0.1737, 0.7500], [0.0000, 0.0000, 0.0000], [0.0000, 0.0000, 0.5000], [0.2713, 0.7287, 0.1397], [0.2713, 0.7287, 0.3603], [0.3975, 0.6025, 0.7500], [0.6025, 0.3975, 0.2500], [0.7287, 0.2713, 0.6397], [0.7287, 0.2713, 0.8603]]
}

=====

Entry 18:
{
  "formula": "BaSr3Mn",
  "functional": "PBE",
  "state": "relaxed",
  "e_form_mev_per_atom": 332,
  "e_above_lowest_polymorph_mev_per_atom": 0,
  "lattice": [[6.2513, 0.0000, 0.0000], [0.0000, 6.2513, 0.0000], [0.0000, 0.0000, 6.2513]],
  "species": ["Ba", "Sr", "Sr", "Sr", "Mn"],
  "frac_coords": [[0.0000, 0.0000, 0.0000], [0.0000, 0.5000, 0.5000], [0.5000, 0.0000, 0.5000], [0.5000, 0.5000, 0.0000], [0.5000, 0.5000, 0.5000]]
}

=====

Entry 19:
{
  "formula": "PaP2Rh2",
  "functional": "PBE",
  "state": "relaxed",
  "e_form_mev_per_atom": -789,
  "lattice": [[3.7481, -5.2052, 0.0000], [3.7481, 5.2052, 0.0000], [-3.2643, 0.0000, 4.5232]],
  "species": ["Pa", "Pa", "P", "P", "P", "P", "Rh", "Rh", "Rh", "Rh"],
  "frac_coords": [[0.1236, 0.8764, 0.7500], [0.8764, 0.1236, 0.2500], [0.2010, 0.7990, 0.2500], [0.3833, 0.6167, 0.7500], [0.6167, 0.3833, 0.2500], [0.7990, 0.2010, 0.7500], [0.2457, 0.3836, 0.9537], [0.3836, 0.2457, 0.4537], [0.6164, 0.7543, 0.5463], [0.7543, 0.6164, 0.0463]]
}

=====

Entry 20:
{
  "formula": "Gd2DySc",
  "functional": "PBE",
  "state": "relaxed",
  "e_form_mev_per_atom": 52,
  "e_above_lowest_polymorph_mev_per_atom": 4,
  "lattice": [[1.7493, 1.0100, 11.2888], [-1.7493, 1.0100, 11.2888], [0.0000, -2.0200, 11.2888]],
  "species": ["Gd", "Gd", "Dy", "Sc"],
  "frac_coords": [[0.2469, 0.2469, 0.2469], [0.7531, 0.7531, 0.7531], [0.0000, 0.0000, 0.0000], [0.5000, 0.5000, 0.5000]]
}

=====

no.,total moment (μB/f.u.)
1,1.173
2,4.357
3,0.000
4,0.000
5,0.000
6,1.805
7,0.000
8,2.819
9,1.606
10,0.000
11,0.000
12,0.005
13,0.000
14,0.000
15,0.000
16,0.000
17,1.125
18,1.796
19,0.000
20,14.331